Entry 1:
Compound: Cd8SnPb3
Source: Alexandria
Functional: PBE-GGA
Structure: relaxed

Unit cell a=9.9805 b=9.9805 c=9.9805 alpha=36.24 beta=36.24 gamma=36.24
Fractional positions:
1 Cd 0.0000 0.0000 0.0000
2 Cd 0.2500 0.2500 0.7491
3 Cd 0.2500 0.7491 0.2500
4 Cd 0.2507 0.7505 0.7505
5 Cd 0.5002 0.5002 0.5002
6 Cd 0.7491 0.2500 0.2500
7 Cd 0.7505 0.2507 0.7505
8 Cd 0.7505 0.7505 0.2507
9 Sn 0.3149 0.3149 0.3149
10 Pb 0.1887 0.1887 0.1887
11 Pb 0.6867 0.6867 0.6867
12 Pb 0.8135 0.8135 0.8135

- Final energy: -21.9 eV per formula unit
- Space-group type: No. 160
- Formation enthalpy at 0 K: 4.6 kJ per mole of atoms

***

Entry 2:
Compound: IrRhO2
Source: Alexandria
Functional: PBE-GGA
Structure: relaxed

Unit cell a=6.3362 b=6.3362 c=6.3362 alpha=27.99 beta=27.99 gamma=27.99
Fractional positions:
1 Ir 0.0000 0.0000 0.0000
2 Rh 0.5000 0.5000 0.5000
3 O 0.3896 0.3896 0.3896
4 O 0.6104 0.6104 0.6104

- E_form (uncorrected): -0.20 eV per atom
- Final energy: -26.9 eV per formula unit
- Space-group type: No. 166

***

Entry 3:
Compound: CuICl
Source: Alexandria
Functional: PBE-GGA
Structure: relaxed

Unit cell a=3.5163 b=6.8208 c=7.8236 alpha=93.79 beta=90.11 gamma=104.76
Fractional positions:
1 Cu 0.2388 0.4827 0.2813
2 Cu 0.7612 0.5173 0.7187
3 I 0.3862 0.7697 0.8602
4 I 0.6138 0.2303 0.1398
5 Cl 0.1593 0.3120 0.6291
6 Cl 0.8407 0.6880 0.3709

- E_form (uncorrected): -0.30 eV per atom
- Final energy: -8.4 eV per formula unit
- Space-group type: No. 2

***

Entry 4:
Compound: ReTc2B
Source: Alexandria
Functional: PBE-GGA
Structure: relaxed

Unit cell a=2.7599 b=2.7599 c=6.5568 alpha=90.00 beta=90.00 gamma=90.00
Fractional positions:
1 Re 0.0000 0.0000 0.0000
2 Tc 0.5000 0.5000 0.2980
3 Tc 0.5000 0.5000 0.7020
4 B 0.0000 0.0000 0.5000

- Final energy: -39.9 eV per formula unit
- Space-group type: No. 123
- Formation enthalpy at 0 K: -0.6 kJ per mole of atoms

***

Entry 5:
Compound: NdTc2C2
Source: Alexandria
Functional: PBE-GGA
Structure: relaxed

Unit cell a=6.5602 b=5.8438 c=5.5953 alpha=69.95 beta=56.80 gamma=53.25
Fractional positions:
1 Nd 0.1250 0.1250 0.1250
2 Nd 0.8750 0.8750 0.8750
3 Tc 0.2354 0.2354 0.5146
4 Tc 0.4854 0.4854 0.7646
5 Tc 0.5146 0.5146 0.2354
6 Tc 0.7646 0.7646 0.4854
7 C 0.1866 0.5634 0.1866
8 C 0.4366 0.8134 0.4366
9 C 0.5634 0.1866 0.5634
10 C 0.8134 0.4366 0.8134

- Final energy: -44.6 eV per formula unit
- Space-group type: No. 70
- Formation enthalpy at 0 K: -11.9 kJ per mole of atoms

***

Entry 6:
Compound: PrSnN
Source: Alexandria
Functional: PBE-GGA
Structure: relaxed

Unit cell a=3.9210 b=3.9210 c=5.8848 alpha=109.41 beta=109.41 gamma=60.11
Fractional positions:
1 Pr 0.0000 0.0000 0.0000
2 Sn 0.5088 0.5088 0.5261
3 N 0.3797 0.3797 0.1385

- E_form (uncorrected): -0.70 eV per atom
- Final energy: -19.2 eV per formula unit
- Space-group type: No. 8

***

So what do the calculations give for total moment? Going down the list: 0.00, 0.00, 0.00, 0.00, 0.00, 0.00 μB/cell.